Computed, not measured: an optimized crystal structure of RhSe3S at the GGA-PBE level of DFT.

Energy relative to the elements, uncorrected ... 0.69 eV/atom
V ... 113.92 Å³ per cell
Distance to the lowest polymorph of the same formula ... 0.0 meV per atom
Energy ... -3.700 eV/atom

Cell: 4.848 4.848 4.848 Å, 90.00 90.00 90.00°
Atoms (fractional coordinates):
S 0.500 0.500 0.500
Rh 0.000 0.000 0.000
Se 0.000 0.500 0.000
Se 0.000 0.000 0.500
Se 0.500 0.000 0.000